(1)
AgBiPb2Se4, optimized geometry, DFT PBE; crystal system = monoclinic; E_form (uncorrected) = -0.38 eV/atom; V = 27.49 A^3/atom
1.0
7.351 0.000 0.000
0.000 4.303 0.000
-2.432 0.000 6.954
Ag Bi Pb Se
1 1 2 4
Direct
0.000 0.000 0.000
0.000 0.500 0.500
0.500 0.000 0.500
0.500 0.500 0.000
0.232 0.000 0.752
0.232 0.500 0.240
0.768 0.000 0.248
0.768 0.500 0.760

(2)
Sr2Ag4Bi3Pb, optimized geometry, DFT PBE; crystal system = tetragonal; formation energy from the elements = -31.43 kJ per mole of atoms; V = 28.90 A^3/atom
1.0
4.774 0.000 0.000
0.000 4.774 0.000
0.000 0.000 12.679
Sr Ag Bi Pb
2 4 3 1
Direct
0.000 0.500 0.238
0.500 0.000 0.762
0.000 0.000 0.000
0.000 0.500 0.644
0.500 0.000 0.356
0.500 0.500 0.000
0.000 0.500 0.865
0.500 0.000 0.135
0.500 0.500 0.500
0.000 0.000 0.500

(3)
Sr2Ag3Bi4Pb, optimized geometry, DFT PBE; crystal system = tetragonal; formation energy from the elements = -26.75 kJ per mole of atoms; V = 31.50 A^3/atom
1.0
4.940 0.000 0.000
0.000 4.940 0.000
0.000 0.000 12.909
Sr Ag Bi Pb
2 3 4 1
Direct
0.000 0.500 0.233
0.500 0.000 0.767
0.000 0.500 0.871
0.500 0.000 0.129
0.500 0.500 0.500
0.000 0.000 0.000
0.000 0.500 0.654
0.500 0.000 0.346
0.500 0.500 0.000
0.000 0.000 0.500

(4)
AgBiTe3Pb, optimized geometry, DFT PBE; crystal system = monoclinic; relative energy among the computed polymorphs = 0.0000 eV per atom; E_form (uncorrected) = -0.22 eV/atom; V = 32.65 A^3/atom
1.0
9.072 0.000 0.000
0.000 4.428 0.000
-1.911 0.000 9.753
Ag Bi Te Pb
2 2 6 2
Direct
0.070 0.250 0.085
0.930 0.750 0.915
0.326 0.750 0.354
0.674 0.250 0.646
0.093 0.250 0.378
0.256 0.750 0.014
0.421 0.750 0.666
0.579 0.250 0.334
0.744 0.250 0.986
0.907 0.750 0.622
0.186 0.250 0.769
0.814 0.750 0.231